# 1
# Dy2Mg2AlTl

A geometry-optimized Dy2Mg2AlTl structure (GGA-PBE, OQMD via LeMat-Bulk).

```
data_Dy2Mg2AlTl
_chemical_formula_sum 'Dy2 Mg2 Al1 Tl1'
_space_group_name_H-M_alt 'P 1'
_space_group_IT_number 1
_cell_length_a 4.843
_cell_length_b 4.843
_cell_length_c 7.235
_cell_angle_alpha 90.00
_cell_angle_beta 90.00
_cell_angle_gamma 120.00
loop_
_space_group_symop_operation_xyz
'x,y,z'
loop_
_atom_site_label
_atom_site_type_symbol
_atom_site_fract_x
_atom_site_fract_y
_atom_site_fract_z
Dy1 Dy 0.000 0.000 0.000
Dy2 Dy 0.000 0.000 0.488
Mg1 Mg 0.333 0.667 0.253
Mg2 Mg 0.667 0.333 0.776
Al1 Al 0.667 0.333 0.218
Tl1 Tl 0.333 0.667 0.716
```

## Properties
Electronic total energy ... -3.35 eV/atom

=====

# 2
# HfZrFeSb

A geometry-optimized HfZrFeSb structure (GGA-PBE, OQMD via LeMat-Bulk).

```
data_HfZrFeSb
_chemical_formula_sum 'Hf1 Zr1 Fe1 Sb1'
_space_group_name_H-M_alt 'P 1'
_space_group_IT_number 1
_cell_length_a 4.707
_cell_length_b 4.707
_cell_length_c 4.707
_cell_angle_alpha 60.00
_cell_angle_beta 60.00
_cell_angle_gamma 60.00
loop_
_space_group_symop_operation_xyz
'x,y,z'
loop_
_atom_site_label
_atom_site_type_symbol
_atom_site_fract_x
_atom_site_fract_y
_atom_site_fract_z
Hf1 Hf 0.000 0.000 0.000
Zr1 Zr 0.250 0.250 0.250
Fe1 Fe 0.750 0.750 0.750
Sb1 Sb 0.500 0.500 0.500
```

## Properties
Energy above the most stable polymorph in this dataset ... 0.0 kJ per mole of atoms

=====

# 3
# CdSnMo4N2

A geometry-optimized CdSnMo4N2 structure (GGA-PBE, OQMD via LeMat-Bulk).

```
data_CdSnMo4N2
_chemical_formula_sum 'Cd1 Sn1 Mo4 N2'
_space_group_name_H-M_alt 'P 1'
_space_group_IT_number 1
_cell_length_a 3.204
_cell_length_b 3.204
_cell_length_c 13.419
_cell_angle_alpha 90.00
_cell_angle_beta 90.00
_cell_angle_gamma 120.00
loop_
_space_group_symop_operation_xyz
'x,y,z'
loop_
_atom_site_label
_atom_site_type_symbol
_atom_site_fract_x
_atom_site_fract_y
_atom_site_fract_z
Cd1 Cd 0.000 0.000 0.000
Sn1 Sn 0.333 0.667 0.500
Mo1 Mo 0.000 0.000 0.331
Mo2 Mo 0.000 0.000 0.669
Mo3 Mo 0.333 0.667 0.178
Mo4 Mo 0.333 0.667 0.822
N1 N 0.667 0.333 0.251
N2 N 0.667 0.333 0.749
```

## Properties
Electronic total energy ... -8.08 eV/atom

=====

# 4
# WI6

A geometry-optimized WI6 structure (GGA-PBE, OQMD via LeMat-Bulk).

```
data_WI6
_chemical_formula_sum 'W1 I6'
_space_group_name_H-M_alt 'P 1'
_space_group_IT_number 1
_cell_length_a 7.065
_cell_length_b 7.065
_cell_length_c 6.366
_cell_angle_alpha 90.00
_cell_angle_beta 90.00
_cell_angle_gamma 120.00
loop_
_space_group_symop_operation_xyz
'x,y,z'
loop_
_atom_site_label
_atom_site_type_symbol
_atom_site_fract_x
_atom_site_fract_y
_atom_site_fract_z
W1 W 0.000 0.000 0.000
I1 I 0.000 0.313 0.755
I2 I 0.000 0.687 0.245
I3 I 0.313 0.000 0.755
I4 I 0.313 0.313 0.245
I5 I 0.687 0.000 0.245
I6 I 0.687 0.687 0.755
```

## Properties
Electronic total energy ... -3.21 eV/atom

=====

# 5
# TaGePO

A geometry-optimized TaGePO structure (GGA-PBE, OQMD via LeMat-Bulk).

```
data_TaGePO
_chemical_formula_sum 'Ta2 Ge2 P2 O2'
_space_group_name_H-M_alt 'P 1'
_space_group_IT_number 1
_cell_length_a 3.456
_cell_length_b 3.456
_cell_length_c 9.710
_cell_angle_alpha 90.00
_cell_angle_beta 90.00
_cell_angle_gamma 90.00
loop_
_space_group_symop_operation_xyz
'x,y,z'
loop_
_atom_site_label
_atom_site_type_symbol
_atom_site_fract_x
_atom_site_fract_y
_atom_site_fract_z
Ta1 Ta 0.250 0.250 0.137
Ta2 Ta 0.750 0.750 0.863
Ge1 Ge 0.250 0.750 0.500
Ge2 Ge 0.750 0.250 0.500
P1 P 0.250 0.250 0.746
P2 P 0.750 0.750 0.254
O1 O 0.250 0.750 0.000
O2 O 0.750 0.250 0.000
```

## Properties
Energy above the most stable polymorph in this dataset ... 25.4 kJ per mole of atoms

=====

# 6
# Na4ZnCdIn2

A geometry-optimized Na4ZnCdIn2 structure (GGA-PBE, OQMD via LeMat-Bulk).

```
data_Na4ZnCdIn2
_chemical_formula_sum 'Na4 Zn1 Cd1 In2'
_space_group_name_H-M_alt 'P 1'
_space_group_IT_number 1
_cell_length_a 5.089
_cell_length_b 5.089
_cell_length_c 7.243
_cell_angle_alpha 90.00
_cell_angle_beta 90.00
_cell_angle_gamma 90.00
loop_
_space_group_symop_operation_xyz
'x,y,z'
loop_
_atom_site_label
_atom_site_type_symbol
_atom_site_fract_x
_atom_site_fract_y
_atom_site_fract_z
Na1 Na 0.000 0.000 0.000
Na2 Na 0.000 0.500 0.242
Na3 Na 0.500 0.000 0.758
Na4 Na 0.500 0.500 0.500
Zn1 Zn 0.500 0.500 0.000
Cd1 Cd 0.000 0.000 0.500
In1 In 0.000 0.500 0.760
In2 In 0.500 0.000 0.240
```

## Properties
Electronic total energy ... -1.70 eV/atom

=====

# 7
# TaCuAsIr

A geometry-optimized TaCuAsIr structure (GGA-PBE, OQMD via LeMat-Bulk).

```
data_TaCuAsIr
_chemical_formula_sum 'Ta1 Cu1 As1 Ir1'
_space_group_name_H-M_alt 'P 1'
_space_group_IT_number 1
_cell_length_a 4.459
_cell_length_b 4.459
_cell_length_c 4.459
_cell_angle_alpha 60.00
_cell_angle_beta 60.00
_cell_angle_gamma 60.00
loop_
_space_group_symop_operation_xyz
'x,y,z'
loop_
_atom_site_label
_atom_site_type_symbol
_atom_site_fract_x
_atom_site_fract_y
_atom_site_fract_z
Ta1 Ta 0.000 0.000 0.000
Cu1 Cu 0.750 0.750 0.750
As1 As 0.500 0.500 0.500
Ir1 Ir 0.250 0.250 0.250
```

## Properties
Energy above the most stable polymorph in this dataset ... 10.8 kJ per mole of atoms

=====

# 8
# Tb2Ni3Ge5

A geometry-optimized Tb2Ni3Ge5 structure (GGA-PBE, OQMD via LeMat-Bulk).

```
data_Tb2Ni3Ge5
_chemical_formula_sum 'Tb4 Ni6 Ge10'
_space_group_name_H-M_alt 'P 1'
_space_group_IT_number 1
_cell_length_a 8.143
_cell_length_b 8.143
_cell_length_c 5.903
_cell_angle_alpha 111.19
_cell_angle_beta 111.19
_cell_angle_gamma 91.18
loop_
_space_group_symop_operation_xyz
'x,y,z'
loop_
_atom_site_label
_atom_site_type_symbol
_atom_site_fract_x
_atom_site_fract_y
_atom_site_fract_z
Tb1 Tb 0.098 0.369 0.233
Tb2 Tb 0.369 0.098 0.733
Tb3 Tb 0.631 0.902 0.267
Tb4 Tb 0.902 0.631 0.767
Ni1 Ni 0.030 0.755 0.392
Ni2 Ni 0.245 0.970 0.108
Ni3 Ni 0.499 0.501 0.250
Ni4 Ni 0.501 0.499 0.750
Ni5 Ni 0.755 0.030 0.892
Ni6 Ni 0.970 0.245 0.608
Ge1 Ge 0.000 0.000 0.250
Ge2 Ge 0.000 0.000 0.750
Ge3 Ge 0.241 0.437 0.838
Ge4 Ge 0.271 0.729 0.250
Ge5 Ge 0.271 0.729 0.750
Ge6 Ge 0.437 0.241 0.338
Ge7 Ge 0.563 0.759 0.662
Ge8 Ge 0.729 0.271 0.250
Ge9 Ge 0.729 0.271 0.750
Ge10 Ge 0.759 0.563 0.162
```

## Properties
Electronic total energy ... -5.56 eV/atom

=====

# 9
# ZnSbPbF

A geometry-optimized ZnSbPbF structure (GGA-PBE, OQMD via LeMat-Bulk).

```
data_ZnSbPbF
_chemical_formula_sum 'Zn8 Sb8 Pb8 F8'
_space_group_name_H-M_alt 'P 1'
_space_group_IT_number 1
_cell_length_a 9.970
_cell_length_b 18.667
_cell_length_c 4.082
_cell_angle_alpha 90.00
_cell_angle_beta 90.00
_cell_angle_gamma 90.00
loop_
_space_group_symop_operation_xyz
'x,y,z'
loop_
_atom_site_label
_atom_site_type_symbol
_atom_site_fract_x
_atom_site_fract_y
_atom_site_fract_z
Zn1 Zn 0.104 0.237 0.000
Zn2 Zn 0.219 0.581 0.000
Zn3 Zn 0.281 0.081 0.000
Zn4 Zn 0.396 0.737 0.000
Zn5 Zn 0.604 0.263 0.000
Zn6 Zn 0.719 0.919 0.000
Zn7 Zn 0.781 0.419 0.000
Zn8 Zn 0.896 0.763 0.000
Sb1 Sb 0.042 0.576 0.500
Sb2 Sb 0.115 0.138 0.500
Sb3 Sb 0.385 0.638 0.500
Sb4 Sb 0.458 0.076 0.500
Sb5 Sb 0.542 0.924 0.500
Sb6 Sb 0.615 0.362 0.500
Sb7 Sb 0.885 0.862 0.500
Sb8 Sb 0.958 0.424 0.500
Pb1 Pb 0.106 0.736 0.500
Pb2 Pb 0.221 0.908 0.500
Pb3 Pb 0.279 0.408 0.500
Pb4 Pb 0.394 0.236 0.500
Pb5 Pb 0.606 0.764 0.500
Pb6 Pb 0.721 0.592 0.500
Pb7 Pb 0.779 0.092 0.500
Pb8 Pb 0.894 0.264 0.500
F1 F 0.186 0.981 0.000
F2 F 0.222 0.326 0.000
F3 F 0.278 0.826 0.000
F4 F 0.314 0.481 0.000
F5 F 0.686 0.519 0.000
F6 F 0.722 0.174 0.000
F7 F 0.778 0.674 0.000
F8 F 0.814 0.019 0.000
```

## Properties
Energy above the most stable polymorph in this dataset ... 12.6 kJ per mole of atoms

=====

# 10
# NaNpAu

A geometry-optimized NaNpAu structure (GGA-PBE, OQMD via LeMat-Bulk).

```
data_NaNpAu
_chemical_formula_sum 'Na1 Np1 Au1'
_space_group_name_H-M_alt 'P 1'
_space_group_IT_number 1
_cell_length_a 4.919
_cell_length_b 4.919
_cell_length_c 4.919
_cell_angle_alpha 60.00
_cell_angle_beta 60.00
_cell_angle_gamma 60.00
loop_
_space_group_symop_operation_xyz
'x,y,z'
loop_
_atom_site_label
_atom_site_type_symbol
_atom_site_fract_x
_atom_site_fract_y
_atom_site_fract_z
Na1 Na 0.000 0.000 0.000
Np1 Np 0.500 0.500 0.500
Au1 Au 0.250 0.250 0.250
```

## Properties
Energy above the most stable polymorph in this dataset ... 0.0 kJ per mole of atoms